The following is a PBE-GGA calculation of crystalline Pm3Y6Th at its relaxed geometry, from Alexandria via LeMat-Bulk.

The value obtained for the formation energy is 2.79 eV/f.u. The calculation puts the density of states at the Fermi level at 60.94 states/eV per cell. The value obtained for the total magnetization is 0.00 μB/cell. The calculation puts the calculated total energy at -5.767 eV/atom.

The space group is R32 (No. 155, hexagonal axes) and the conventional cell measures 9.9635, 9.9635 and 11.7862 Å, with angles of 90.00, 90.00 and 120.00 degrees. The distinct sites, in fractional coordinates, are Pm at (0.0000, 0.0000, 0.0000), Pm at (0.0000, 0.0000, 0.2435), Y at (0.0000, 0.3265, 0.5000), Y at (0.0000, 0.6690, 0.0000) and Th at (0.0000, 0.0000, 0.5000).


The following is a PBE-GGA calculation of crystalline Pm6Y3Th at its relaxed geometry, from Alexandria via LeMat-Bulk.

The value obtained for the formation energy is 0.81 eV/f.u. The calculation puts the density of states at the Fermi level at 30.14 states/eV per cell. The value obtained for the total magnetization is 0.00 μB/cell. The calculation puts the calculated total energy at -5.451 eV/atom.

The space group is P2_1/m (No. 11) and the conventional cell measures 13.3073, 3.5570 and 14.5482 Å, with angles of 90.00, 100.47 and 90.00 degrees. The distinct sites, in fractional coordinates, are Pm at (0.0008, 0.2500, 0.1908), Pm at (0.1560, 0.7500, 0.3802), Pm at (0.2296, 0.2500, 0.7986), Pm at (0.2798, 0.2500, 0.2116), Pm at (0.3111, 0.2500, 0.5809), Pm at (0.3785, 0.7500, 0.0154), Y at (0.0780, 0.7500, 0.5964), Y at (0.1246, 0.2500, 0.0015), Y at (0.4261, 0.7500, 0.3994) and Th at (0.4639, 0.7500, 0.7783).


The following is a PBE-GGA calculation of crystalline Pm9YTh2 at its relaxed geometry, from Alexandria via LeMat-Bulk.

The value obtained for the formation energy is 0.51 eV/f.u. The calculation puts the density of states at the Fermi level at 16.35 states/eV per cell. The value obtained for the total magnetization is 0.00 μB/cell. The calculation puts the calculated total energy at -5.296 eV/atom.

The space group is P4/mmm (No. 123) and the conventional cell measures 5.1288, 5.1288 and 15.3969 Å, with angles of 90.00, 90.00 and 90.00 degrees. The distinct sites, in fractional coordinates, are Pm at (0.0000, 0.0000, 0.0000), Pm at (0.0000, 0.0000, 0.3332), Pm at (0.0000, 0.5000, 0.1688), Pm at (0.0000, 0.5000, 0.5000), Y at (0.5000, 0.5000, 0.0000) and Th at (0.5000, 0.5000, 0.3336).


The following is a PBE-GGA calculation of crystalline Pm3Y7Th2 at its relaxed geometry, from Alexandria via LeMat-Bulk.

The value obtained for the formation energy is 1.91 eV/f.u. The calculation puts the density of states at the Fermi level at 40.76 states/eV per cell. The value obtained for the total magnetization is 0.00 μB/cell. The calculation puts the calculated total energy at -6.036 eV/atom.

The space group is Cmmm (No. 65) and the conventional cell measures 5.7877, 38.4210 and 3.6152 Å, with angles of 90.00, 90.00 and 90.00 degrees. The distinct sites, in fractional coordinates, are Pm at (0.0000, 0.0000, 0.0000), Pm at (0.0000, 0.3154, 0.5000), Y at (0.0000, 0.0719, 0.5000), Y at (0.0000, 0.2293, 0.0000), Y at (0.0000, 0.4106, 0.0000), Y at (0.0000, 0.5000, 0.5000) and Th at (0.0000, 0.1464, 0.0000).


The following is a PBE-GGA calculation of crystalline Pm4YTh2 at its relaxed geometry, from Alexandria via LeMat-Bulk.

The value obtained for the formation energy is 5.50 eV/f.u. The calculation puts the density of states at the Fermi level at 28.93 states/eV per cell. The value obtained for the total magnetization is 3.31 μB/cell. The calculation puts the calculated total energy at -4.972 eV/atom.

The space group is I4/mmm (No. 139) and the conventional cell measures 5.6697, 5.6697 and 16.7851 Å, with angles of 90.00, 90.00 and 90.00 degrees. The distinct sites, in fractional coordinates, are Pm at (0.0000, 0.0000, 0.1887), Pm at (0.0000, 0.5000, 0.0000), Y at (0.0000, 0.0000, 0.0000) and Th at (0.0000, 0.0000, 0.3900).


The following is a PBE-GGA calculation of crystalline PmYTh4 at its relaxed geometry, from Alexandria via LeMat-Bulk.

The value obtained for the formation energy is 1.57 eV/f.u. The calculation puts the density of states at the Fermi level at 48.14 states/eV per cell. The value obtained for the total magnetization is 0.00 μB/cell. The calculation puts the calculated total energy at -6.555 eV/atom.

The space group is F-43m (No. 216) and the conventional cell measures 9.4059, 9.4059 and 9.4059 Å, with angles of 90.00, 90.00 and 90.00 degrees. The distinct sites, in fractional coordinates, are Pm at (0.0000, 0.0000, 0.0000), Y at (0.2500, 0.2500, 0.2500) and Th at (0.1248, 0.1248, 0.6248).